First-principles (PBE with a Hubbard U) data for a relaxed TbMoO3 crystal, as listed in the Alexandria database.

Values from the calculation:
As for the uncorrected energy: -7.676 eV per atom. Its density is 6.6 g/cm3. The space group is Cmc2_1, No. 36.

a = 3.3273 Å, b = 5.6883 Å, c = 8.2406 Å
α = 90.00°, β = 101.65°, γ = 90.00°
With the nearest neighbours (Å) after each atom.
Fractional coordinates of all 10 atoms:
Tb 0.1837 0.9899 0.3675  5 O 2.16-2.37
O 0.7266 0.2080 0.4533  3 Tb 2.16-2.19
Mo 0.5122 0.5371 0.0245  6 O 2.14-2.30
Mo 0.4878 0.0371 0.9755  6 O 2.14-2.30
O 0.0410 0.2703 0.0820  4 Mo 2.29-2.30
O 0.9590 0.7703 0.9180  4 Mo 2.29-2.30
O 0.2734 0.7080 0.5467  3 Tb 2.16-2.19
O 0.4029 0.3257 0.8058  2 Mo 2.14, 2 Tb 2.37
Tb 0.8163 0.4899 0.6325  5 O 2.16-2.37
O 0.5971 0.8257 0.1942  2 Mo 2.14, 2 Tb 2.37

=====

First-principles (PBE with a Hubbard U) data for a relaxed Tb3MoO7 crystal, as listed in the Alexandria database.

Values from the calculation:
As for the uncorrected energy: -8.080 eV per atom. Its density is 7.6 g/cm3. The space group is C222_1, No. 20.

a = 6.5028 Å, b = 6.5028 Å, c = 7.4998 Å
α = 90.00°, β = 90.00°, γ = 108.75°
With the nearest neighbours (Å) after each atom.
Fractional coordinates of all 22 atoms:
O 0.9174 0.6740 0.0257  1 Mo 2.03
Tb 0.4691 0.4691 0.5000  6 O 2.34-2.39
O 0.0826 0.3260 0.5257  1 Mo 2.03
Tb 0.5309 0.5309 0.0000  6 O 2.34-2.39
Tb 0.9996 0.4640 0.2441  7 O 2.24-2.43
O 0.9264 0.0736 0.2500  2 Mo 2.03
Mo 0.9986 0.9986 0.5000  6 O 1.95-2.03
O 0.9418 0.6893 0.4628  1 Mo 1.95
O 0.3630 0.6370 0.7500  4 Tb 2.24-2.38
O 0.0736 0.9264 0.7500  2 Mo 2.03
Tb 0.4640 0.9996 0.7559  7 O 2.24-2.43
O 0.3694 0.6306 0.2500  4 Tb 2.30-2.34
Tb 0.5360 0.0004 0.2559  7 O 2.24-2.43
O 0.6306 0.3694 0.7500  4 Tb 2.30-2.34
O 0.3107 0.0582 0.0372  1 Mo 1.95
O 0.3260 0.0826 0.4743  1 Mo 2.03
O 0.6740 0.9174 0.9743  1 Mo 2.03
Tb 0.0004 0.5360 0.7441  7 O 2.24-2.43
O 0.6370 0.3630 0.2500  4 Tb 2.24-2.38
O 0.0582 0.3107 0.9628  1 Mo 1.95
O 0.6893 0.9418 0.5372  1 Mo 1.95
Mo 0.0014 0.0014 0.0000  6 O 1.95-2.03

=====

First-principles (PBE with a Hubbard U) data for a relaxed Tb2Mo3O12 crystal, as listed in the Alexandria database.

Values from the calculation:
As for the uncorrected energy: -7.558 eV per atom. Its density is 4.4 g/cm3. The space group is P-42_1m, No. 113.

a = 7.4781 Å, b = 7.4781 Å, c = 10.7476 Å
α = 90.00°, β = 90.00°, γ = 90.00°
With the nearest neighbours (Å) after each atom.
Fractional coordinates of all 34 atoms:
O 0.4544 0.3106 0.9030  1 Mo 1.79
Tb 0.3127 0.1873 0.7375  7 O 2.27-2.44
O 0.0456 0.8106 0.0970  1 Mo 1.79
O 0.4948 0.7255 0.2967  1 Mo 1.78
O 0.5456 0.6894 0.9030  1 Mo 1.79
O 0.8044 0.3044 0.4788  1 Mo 1.78
Mo 0.2929 0.2071 0.3557  4 O 1.78-1.84
O 0.9544 0.1894 0.0970  1 Mo 1.79
O 0.8739 0.6261 0.3081  1 Mo 1.84
Mo 0.7071 0.7929 0.3557  4 O 1.78-1.84
O 0.0052 0.2255 0.7033  1 Mo 1.78
Mo 0.2071 0.7071 0.6443  4 O 1.78-1.84
O 0.3106 0.5456 0.0970  1 Mo 1.79
Tb 0.1873 0.6873 0.2625  7 O 2.27-2.44
O 0.2255 0.9948 0.2967  1 Mo 1.78
O 0.1261 0.3739 0.3081  1 Mo 1.84
O 0.5052 0.2745 0.2967  1 Mo 1.78
Tb 0.6873 0.8127 0.7375  7 O 2.27-2.44
O 0.9948 0.7745 0.7033  1 Mo 1.78
Mo 0.7929 0.2929 0.6443  4 O 1.78-1.84
O 0.3739 0.8739 0.6919  1 Mo 1.84
O 0.6956 0.8044 0.5212  1 Mo 1.78
O 0.8106 0.9544 0.9030  1 Mo 1.79
O 0.7255 0.5052 0.7033  1 Mo 1.78
Mo 0.0000 0.0000 0.0000  4 O 1.79
O 0.1894 0.0456 0.9030  1 Mo 1.79
O 0.6261 0.1261 0.6919  1 Mo 1.84
Tb 0.8127 0.3127 0.2625  7 O 2.27-2.44
O 0.1956 0.6956 0.4788  1 Mo 1.78
O 0.6894 0.4544 0.0970  1 Mo 1.79
O 0.7745 0.0052 0.2967  1 Mo 1.78
O 0.3044 0.1956 0.5212  1 Mo 1.78
Mo 0.5000 0.5000 0.0000  4 O 1.79
O 0.2745 0.4948 0.7033  1 Mo 1.78

=====

Q: What is the density in the first record?
A: 6.6 g/cm3